No. 1
GGA-PBE NaInGe, optimized geometry; space-group type = Cm; total moment = 0.00 μB/f.u.
1.0
5.565 -2.402 0.000
5.565 2.402 0.000
-5.453 0.000 5.627
Na In Ge
2 2 2
Direct
0.000 0.000 0.000
0.127 0.127 0.627
0.411 0.411 0.222
0.412 0.412 0.602
0.728 0.728 0.056
0.730 0.730 0.399

No. 2
GGA-PBE Na12In7Ge, optimized geometry; space-group type = R-3m; total moment = 0.00 μB/f.u.
1.0
6.643 3.835 3.686
-6.643 3.835 3.686
0.000 -7.670 3.686
Na In Ge
12 7 1
Direct
0.000 0.261 0.739
0.000 0.739 0.261
0.177 0.177 0.420
0.177 0.420 0.177
0.261 0.000 0.739
0.261 0.739 0.000
0.420 0.177 0.177
0.580 0.823 0.823
0.739 0.000 0.261
0.739 0.261 0.000
0.823 0.580 0.823
0.823 0.823 0.580
0.000 0.000 0.000
0.187 0.592 0.592
0.408 0.408 0.813
0.408 0.813 0.408
0.592 0.187 0.592
0.592 0.592 0.187
0.813 0.408 0.408
0.500 0.500 0.500

No. 3
GGA-PBE NaInGe4, optimized geometry; space-group type = F-43m; total moment = 0.00 μB/f.u.
1.0
0.000 4.020 4.020
4.020 0.000 4.020
4.020 4.020 0.000
Na In Ge
1 1 4
Direct
0.000 0.000 0.000
0.250 0.250 0.250
0.124 0.625 0.625
0.625 0.124 0.625
0.625 0.625 0.124
0.625 0.625 0.625

No. 4
GGA-PBE Na2InGe, optimized geometry; energy relative to the lowest polymorph listed for this composition = 33 meV/atom; space-group type = P4/mmm; total moment = 0.00 μB/f.u.
1.0
4.381 0.000 0.000
0.000 4.381 0.000
0.000 0.000 4.930
Na In Ge
2 1 1
Direct
0.000 0.500 0.000
0.500 0.000 0.000
0.000 0.000 0.500
0.500 0.500 0.500

No. 5
GGA-PBE NaInGe, optimized geometry; space-group type = P1; total moment = 0.00 μB/f.u.
1.0
3.417 0.000 0.000
-0.162 5.128 0.000
-0.682 -1.864 8.797
Na In Ge
2 2 2
Direct
0.000 0.000 0.000
0.174 0.115 0.393
0.556 0.699 0.613
0.609 0.559 0.223
0.453 0.482 0.905
0.900 0.242 0.707

No. 6
GGA-PBE NaInGe, optimized geometry; space-group type = P-1; total moment = 0.00 μB/f.u.
1.0
4.860 0.000 0.000
2.388 5.634 0.000
2.385 2.074 5.575
Na In Ge
2 2 2
Direct
0.177 0.429 0.216
0.823 0.571 0.784
0.414 0.779 0.393
0.586 0.221 0.607
0.111 0.990 0.787
0.889 0.010 0.213

Asked for energy of formation across the records above, the calculation gives -0.09, -0.07, 0.11, -0.03, 0.00, -0.06 eV per atom in order.